# 1
# GGA-PBE LaPr3Sc, relaxed
# * energy: -4.9708 eV/atom
# * size of the total moment: 0.0 μB/f.u.
# * theoretical density: 5.8 g/cm³
# * energy of formation: 0.149 eV/atom
data_LaPr3Sc
_chemical_formula_sum 'La2 Pr6 Sc2'
_space_group_name_H-M_alt 'P m m n'
_space_group_IT_number 59
_cell_length_a 5.4200
_cell_length_b 7.4594
_cell_length_c 8.5463
_cell_angle_alpha 90.00
_cell_angle_beta 90.00
_cell_angle_gamma 90.00
loop_
_space_group_symop_operation_xyz
'x,y,z'
'-x,-y,-z'
'-x+1/2,-y+1/2,z'
'x+1/2,y+1/2,-z'
'x+1/2,-y,-z'
'-x+1/2,y,z'
'-x,y+1/2,-z'
'x,-y+1/2,z'
loop_
_atom_site_label
_atom_site_type_symbol
_atom_site_fract_x
_atom_site_fract_y
_atom_site_fract_z
_atom_site_occupancy
La1 La 0.2500 0.2500 0.0475 1
Pr1 Pr 0.2500 0.5421 0.7255 1
Pr2 Pr 0.2500 0.7500 0.2963 1
Sc1 Sc 0.2500 0.2500 0.4320 1


# 2
# GGA-PBE Th3SbAs2, relaxed
# * formation energy from raw total energies: -0.864 eV per atom
# * energy: -6.8110 eV/atom
# * size of the total moment: 0.0 μB/f.u.
# * theoretical density: 9.5 g/cm³
data_Th3SbAs2
_chemical_formula_sum 'Th12 Sb4 As8'
_space_group_name_H-M_alt 'C m c m'
_space_group_IT_number 63
_space_group_name_Hall '-C 2c 2'
_cell_length_a 4.9950
_cell_length_b 13.4446
_cell_length_c 10.1261
_cell_angle_alpha 90.00
_cell_angle_beta 90.00
_cell_angle_gamma 90.00
loop_
_atom_site_label
_atom_site_type_symbol
_atom_site_fract_x
_atom_site_fract_y
_atom_site_fract_z
_atom_site_occupancy
Th1 Th 0.0000 0.1147 0.2500 1
Th2 Th 0.0000 0.3705 0.0437 1
Sb1 Sb 0.0000 0.2185 0.7500 1
As1 As 0.0000 0.0000 0.0000 1
As2 As 0.0000 0.4803 0.7500 1


# 3
# GGA-PBE ScTlCuCl6, relaxed
# * formation energy from raw total energies: -1.329 eV per atom
# * energy: -3.9814 eV/atom
# * size of the total moment: 1.0 μB/f.u.
# * theoretical density: 3.3 g/cm³
data_ScTlCuCl6
_chemical_formula_sum 'Sc1 Tl1 Cu1 Cl6'
_space_group_name_H-M_alt 'P 1'
_space_group_IT_number 1
_cell_length_a 6.4000
_cell_length_b 6.4047
_cell_length_c 7.0854
_cell_angle_alpha 92.92
_cell_angle_beta 92.99
_cell_angle_gamma 114.55
loop_
_space_group_symop_operation_xyz
'x,y,z'
loop_
_atom_site_label
_atom_site_type_symbol
_atom_site_fract_x
_atom_site_fract_y
_atom_site_fract_z
_atom_site_occupancy
Sc1 Sc 0.0000 0.0000 0.0000 1
Tl1 Tl 0.6652 0.3341 0.4994 1
Cu1 Cu 0.3456 0.6561 0.9977 1
Cl1 Cl 0.0355 0.2975 0.2389 1
Cl2 Cl 0.0754 0.6989 0.7943 1
Cl3 Cl 0.3020 0.9236 0.2035 1
Cl4 Cl 0.3042 0.3183 0.8317 1
Cl5 Cl 0.6812 0.6939 0.1663 1
Cl6 Cl 0.7005 0.9647 0.7620 1


# 4
# GGA-PBE Cs12Br3O5, relaxed
# * formation energy from raw total energies: -1.190 eV per atom
# * energy: -3.1924 eV/atom
# * size of the total moment: 1.1 μB/f.u.
# * theoretical density: 3.8 g/cm³
data_Cs12Br3O5
_chemical_formula_sum 'Cs96 Br24 O40'
_space_group_name_H-M_alt 'I a -3 d'
_space_group_IT_number 230
_space_group_name_Hall '-I 4bd 2c 3'
_cell_length_a 18.8972
_cell_length_b 18.8972
_cell_length_c 18.8972
_cell_angle_alpha 90.00
_cell_angle_beta 90.00
_cell_angle_gamma 90.00
loop_
_atom_site_label
_atom_site_type_symbol
_atom_site_fract_x
_atom_site_fract_y
_atom_site_fract_z
_atom_site_occupancy
Cs1 Cs 0.0338 0.0505 0.6482 1
Br1 Br 0.0000 0.2500 0.1250 1
O1 O 0.0000 0.0000 0.0000 1
O2 O 0.0000 0.2500 0.3750 1


# 5
# GGA-PBE ZrTi2Zn, relaxed
# * energy: -6.1555 eV/atom
# * size of the total moment: 0.0 μB/f.u.
# * theoretical density: 5.6 g/cm³
# * energy of formation: 0.247 eV/atom
data_ZrTi2Zn
_chemical_formula_sum 'Zr4 Ti8 Zn4'
_space_group_name_H-M_alt 'I -4 2 d'
_space_group_IT_number 122
_space_group_name_Hall 'I -4 2bw'
_cell_length_a 3.9157
_cell_length_b 3.9157
_cell_length_c 19.5101
_cell_angle_alpha 90.00
_cell_angle_beta 90.00
_cell_angle_gamma 90.00
loop_
_atom_site_label
_atom_site_type_symbol
_atom_site_fract_x
_atom_site_fract_y
_atom_site_fract_z
_atom_site_occupancy
Zr1 Zr 0.0000 0.0000 0.0000 1
Ti1 Ti 0.2473 0.7500 0.6250 1
Zn1 Zn 0.0000 0.0000 0.5000 1


# 6
# GGA-PBE NbCuSe2, relaxed
# * formation energy from raw total energies: -0.047 eV per atom
# * energy: -5.3310 eV/atom
# * size of the total moment: 1.9 μB/f.u.
# * theoretical density: 7.5 g/cm³
data_NbCuSe2
_chemical_formula_sum 'Nb4 Cu4 Se8'
_space_group_name_H-M_alt 'F m -3 m'
_space_group_IT_number 225
_space_group_name_Hall '-F 4 2 3'
_cell_length_a 6.5323
_cell_length_b 6.5323
_cell_length_c 6.5323
_cell_angle_alpha 90.00
_cell_angle_beta 90.00
_cell_angle_gamma 90.00
loop_
_atom_site_label
_atom_site_type_symbol
_atom_site_fract_x
_atom_site_fract_y
_atom_site_fract_z
_atom_site_occupancy
Nb1 Nb 0.0000 0.0000 0.0000 1
Cu1 Cu 0.0000 0.0000 0.5000 1
Se1 Se 0.2500 0.2500 0.2500 1


# 7
# GGA-PBE Sc2Co3N4, relaxed
# * formation energy from raw total energies: -0.527 eV per atom
# * energy: -8.0027 eV/atom
# * size of the total moment: 0.0 μB/f.u.
# * theoretical density: 5.8 g/cm³
data_Sc2Co3N4
_chemical_formula_sum 'Sc8 Co12 N16'
_space_group_name_H-M_alt 'C 1 2/c 1'
_space_group_IT_number 15
_cell_length_a 7.9575
_cell_length_b 7.8828
_cell_length_c 5.9367
_cell_angle_alpha 90.00
_cell_angle_beta 98.82
_cell_angle_gamma 90.00
loop_
_space_group_symop_operation_xyz
'x,y,z'
'-x,-y,-z'
'-x,y,-z+1/2'
'x,-y,z+1/2'
'x+1/2,y+1/2,z'
'-x+1/2,-y+1/2,-z'
'-x+1/2,y+1/2,-z+1/2'
'x+1/2,-y+1/2,z+1/2'
loop_
_atom_site_label
_atom_site_type_symbol
_atom_site_fract_x
_atom_site_fract_y
_atom_site_fract_z
_atom_site_occupancy
Sc1 Sc 0.1588 0.1150 0.1456 1
Co1 Co 0.0000 0.2459 0.7500 1
Co2 Co 0.1185 0.3810 0.4479 1
N1 N 0.1094 0.3795 0.0044 1
N2 N 0.1220 0.1421 0.5128 1


# 8
# GGA-PBE LiTeMo2, relaxed
# * formation energy from raw total energies: 0.336 eV per atom
# * energy: -6.3436 eV/atom
# * size of the total moment: 0.0 μB/f.u.
# * theoretical density: 8.1 g/cm³
data_LiTeMo2
_chemical_formula_sum 'Li1 Te1 Mo2'
_space_group_name_H-M_alt 'P 4/m m m'
_space_group_IT_number 123
_space_group_name_Hall '-P 4 2'
_cell_length_a 3.8076
_cell_length_b 3.8076
_cell_length_c 4.6285
_cell_angle_alpha 90.00
_cell_angle_beta 90.00
_cell_angle_gamma 90.00
loop_
_atom_site_label
_atom_site_type_symbol
_atom_site_fract_x
_atom_site_fract_y
_atom_site_fract_z
_atom_site_occupancy
Li1 Li 0.0000 0.0000 0.0000 1
Te1 Te 0.5000 0.5000 0.0000 1
Mo1 Mo 0.0000 0.5000 0.5000 1


# 9
# GGA-PBE K2LaSe2, relaxed
# * formation energy from raw total energies: -1.236 eV per atom
# * energy: -4.0546 eV/atom
# * size of the total moment: 0.0 μB/f.u.
# * theoretical density: 3.8 g/cm³
# * energy above the lowest structure with this stoichiometry: 0 meV per atom
data_K2LaSe2
_chemical_formula_sum 'K4 La2 Se4'
_space_group_name_H-M_alt 'P 4/m b m'
_space_group_IT_number 127
_space_group_name_Hall '-P 4 2ab'
_cell_length_a 8.2968
_cell_length_b 8.2968
_cell_length_c 4.7956
_cell_angle_alpha 90.00
_cell_angle_beta 90.00
_cell_angle_gamma 90.00
loop_
_atom_site_label
_atom_site_type_symbol
_atom_site_fract_x
_atom_site_fract_y
_atom_site_fract_z
_atom_site_occupancy
K1 K 0.1328 0.3672 0.0000 1
La1 La 0.0000 0.0000 0.5000 1
Se1 Se 0.1808 0.6808 0.5000 1


# 10
# GGA-PBE In2PAu, relaxed
# * energy: -3.6128 eV/atom
# * size of the total moment: 0.0 μB/f.u.
# * theoretical density: 8.2 g/cm³
# * energy of formation: -0.072 eV/atom
data_In2PAu
_chemical_formula_sum 'In4 P2 Au2'
_space_group_name_H-M_alt 'P -1'
_space_group_IT_number 2
_cell_length_a 5.5659
_cell_length_b 5.8065
_cell_length_c 6.3953
_cell_angle_alpha 93.52
_cell_angle_beta 115.47
_cell_angle_gamma 90.34
loop_
_space_group_symop_operation_xyz
'x,y,z'
'-x,-y,-z'
loop_
_atom_site_label
_atom_site_type_symbol
_atom_site_fract_x
_atom_site_fract_y
_atom_site_fract_z
_atom_site_occupancy
In1 In 0.0385 0.2608 0.0802 1
In2 In 0.2633 0.7204 0.5222 1
P1 P 0.4932 0.1850 0.9871 1
Au1 Au 0.2780 0.2257 0.5624 1